First-principles (PBE) data for crystalline GdPuAg2 at its relaxed geometry, as listed in Alexandria via LeMat-Bulk.

Unit cell a=5.3369 b=5.3369 c=3.4742 alpha=90.00 beta=90.00 gamma=90.00
Atoms (fractional coordinates):
Gd 0.0000 0.0000 0.0000
Pu 0.5000 0.5000 0.0000
Ag 0.0000 0.5000 0.5000
Ag 0.5000 0.0000 0.5000

Results
M_tot = 1.41 μB/f.u.
Volume = 98.95 Å³/cell
Electronic total energy = -34.5 eV/cell
Space group = P4/mmm
Distance to the lowest polymorph of the same formula = 0.0 meV/atom